# 1
A relaxed Y4ErSc5 crystal, computed with PBE.

abc: 3.383 10.837 8.302
angles: 108.56 101.75 89.96
Each line ends with the local moment (μB).
Atoms (fractional coordinates):
Y: 0.610 0.793 0.218  0.00
Y: 0.090 0.303 0.182  0.04
Y: 0.910 0.697 0.818  0.04
Y: 0.390 0.207 0.782  0.00
Sc: 0.786 0.382 0.575  0.11
Sc: 0.500 0.500 0.000  0.06
Sc: 0.214 0.618 0.425  0.11
Sc: 0.808 0.920 0.616  0.01
Sc: 0.192 0.080 0.384  0.01
Er: 0.500 0.000 0.000  0.01

- relative energy among the computed polymorphs (meV/atom) = 0
- energy relative to the elements (eV/atom) = 0.0910
- magnetization (μB per formula unit) = 0.70
- crystal system = monoclinic

***

# 2
A relaxed Y5Er2Sc2 crystal, computed with PBE.

abc: 9.667 5.505 11.730
angles: 103.57 114.33 90.00
Atoms (fractional coordinates):
Er: 0.000 0.038 0.000
Er: 0.917 0.787 0.500
Er: 0.500 0.538 0.000
Er: 0.083 0.287 0.500
Y: 0.534 0.698 0.322
Y: 0.712 0.876 0.678
Y: 0.251 0.928 0.781
Y: 0.749 0.147 0.219
Y: 0.699 0.287 0.500
Y: 0.288 0.198 0.322
Y: 0.301 0.787 0.500
Y: 0.970 0.647 0.219
Y: 0.030 0.428 0.781
Y: 0.466 0.376 0.678
Sc: 0.384 0.084 0.094
Sc: 0.791 0.491 0.906
Sc: 0.209 0.584 0.094
Sc: 0.616 0.991 0.906

- relative energy among the computed polymorphs (meV/atom) = 73
- energy relative to the elements (eV/atom) = 0.1198
- magnetization (μB per formula unit) = 0.00
- crystal system = orthorhombic

***

# 3
A relaxed YEr12Sc7 crystal, computed with PBE.

abc: 8.994 8.994 8.994
angles: 108.38 108.38 108.38
Each line ends with the local moment (μB).
Atoms (fractional coordinates):
Sc: 0.894 0.316 0.995  0.26
Sc: 0.500 0.500 0.500  0.12
Sc: 0.106 0.684 0.005  0.26
Sc: 0.316 0.995 0.894  0.26
Sc: 0.005 0.106 0.684  0.26
Sc: 0.995 0.894 0.316  0.26
Sc: 0.684 0.005 0.106  0.26
Er: 0.933 0.704 0.593  0.18
Er: 0.407 0.067 0.296  0.18
Er: 0.199 0.674 0.384  0.14
Er: 0.067 0.296 0.407  0.18
Er: 0.593 0.933 0.704  0.18
Er: 0.704 0.593 0.933  0.18
Er: 0.801 0.326 0.616  0.14
Er: 0.326 0.616 0.801  0.14
Er: 0.616 0.801 0.326  0.14
Er: 0.296 0.407 0.067  0.18
Er: 0.674 0.384 0.199  0.14
Er: 0.384 0.199 0.674  0.14
Y: 0.000 0.000 0.000  0.08

- relative energy among the computed polymorphs (meV/atom) = 0
- energy relative to the elements (eV/atom) = 0.1749
- magnetization (μB per formula unit) = 5.25
- crystal system = trigonal

***

# 4
A relaxed Y19Er4Sc6 crystal, computed with PBE.

abc: 10.646 10.646 10.647
angles: 109.47 109.47 109.47
Each line ends with the local moment (μB).
Atoms (fractional coordinates):
Sc: 0.500 0.884 0.384  0.26
Sc: 0.616 0.500 0.116  0.26
Sc: 0.116 0.616 0.500  0.26
Sc: 0.384 0.500 0.884  0.26
Sc: 0.884 0.384 0.500  0.26
Sc: 0.500 0.116 0.616  0.26
Y: 0.783 0.340 0.007  0.00
Y: 0.225 0.557 0.217  0.00
Y: 0.007 0.783 0.340  0.00
Y: 0.333 0.775 0.993  0.00
Y: 0.000 0.734 0.734  0.10
Y: 0.266 0.000 0.266  0.10
Y: 0.340 0.007 0.783  0.00
Y: 0.443 0.667 0.660  0.00
Y: 0.660 0.443 0.667  0.00
Y: 0.557 0.217 0.225  0.00
Y: 0.000 0.266 0.266  0.10
Y: 0.734 0.734 0.000  0.10
Y: 0.993 0.333 0.775  0.00
Y: 0.266 0.266 0.000  0.10
Y: 0.217 0.225 0.557  0.00
Y: 0.775 0.993 0.333  0.00
Y: 0.734 0.000 0.734  0.10
Y: 0.667 0.660 0.443  0.00
Y: 0.000 0.000 0.000  -0.01
Er: 0.000 0.643 0.000  0.02
Er: 0.643 0.000 0.000  0.02
Er: 0.357 0.357 0.357  0.02
Er: 0.000 0.000 0.643  0.02

- energy relative to the elements (eV/atom) = 0.3846
- magnetization (μB per formula unit) = 3.20
- crystal system = cubic